Model w:
The following is a DFT calculation (PBE) of a geometry-optimized RbCdPO structure.

```
RbCdPO
1.0
-0.3274 -0.3104 -5.0719
4.2920 -0.9623 -0.2181
-1.6438 -7.4590 0.5626
Cd O P Rb
2 2 2 2
Direct
0.7500 0.5000 0.2549
0.2500 0.5000 0.7451
0.0000 0.5000 0.5000
0.5000 0.5000 0.5000
0.7500 0.0000 0.0595
0.2500 0.0000 0.9405
0.2500 0.0000 0.3585
0.7500 0.0000 0.6415
```

Properties
* symmetry: No. 51
* volume: 21.47 Å³/atom

Model x:
The following is a DFT calculation (PBE) of a geometry-optimized RbCdPO structure.

```
RbCdPO
1.0
-0.9681 3.2281 0.3760
-9.0678 -2.5047 -1.8428
-0.8641 -0.8962 5.4702
Cd O P Rb
2 2 2 2
Direct
0.0000 0.7238 0.4803
0.0000 0.2762 0.9803
0.5000 0.8616 0.4812
0.5000 0.1384 0.9812
0.0000 0.4776 0.3110
0.0000 0.5224 0.8110
0.5000 0.1401 0.4815
0.5000 0.8599 0.9815
```

Properties
* symmetry: No. 26
* volume: 22.80 Å³/atom

Which structure is the least stable? The one labeled model w.

Model w:
The following is a DFT calculation (PBE) of a geometry-optimized RbCdPO structure.

```
RbCdPO
1.0
-2.9333 1.6391 2.6630
0.5728 -3.3078 2.6670
8.0294 5.6952 5.3390
Cd O P Rb
2 2 2 2
Direct
0.7500 0.2500 0.5000
0.2500 0.7500 0.5000
0.7500 0.2500 0.0000
0.2500 0.7500 0.0000
0.7500 0.7500 0.3605
0.2500 0.2500 0.6395
0.2500 0.2500 0.1512
0.7500 0.7500 0.8488
```

Properties
* symmetry: No. 129
* volume: 25.73 Å³/atom

Model x:
The following is a DFT calculation (PBE) of a geometry-optimized RbCdPO structure.

```
RbCdPO
1.0
4.4813 0.0000 0.0000
0.0000 4.4813 0.0000
0.0000 0.0000 11.0493
Cd O P Rb
2 2 2 2
Direct
0.0000 0.5000 0.0545
0.5000 0.0000 0.9455
0.0000 0.0000 0.0000
0.5000 0.5000 0.0000
0.0000 0.5000 0.2878
0.5000 0.0000 0.7122
0.0000 0.0000 0.5000
0.5000 0.5000 0.5000
```

Properties
* symmetry: No. 129
* volume: 27.74 Å³/atom

Which structure is the least stable? The one labeled model x.